Entry 1:
! PBE Ag2SnAu4, optimized geometry; values from VASP
&SYSTEM
  ibrav = 0, nat = 7, ntyp = 3
/
ATOMIC_SPECIES
Ag 107.87 Ag.upf
Sn 118.71 Sn.upf
Au 196.97 Au.upf
CELL_PARAMETERS angstrom
3.018 -4.868 0.000
3.018 4.868 0.000
0.000 0.000 4.862
ATOMIC_POSITIONS angstrom
Ag 3.018 2.436 0.000
Ag 3.018 -2.436 0.000
Sn 0.000 0.000 2.431
Au 1.509 2.434 2.431
Au 1.587 0.000 0.000
Au 1.509 -2.434 2.431
Au 4.448 0.000 0.000
! relative energy among the computed polymorphs = 0.011 eV per atom


Entry 2:
The following is a DFT calculation (PBE) of a geometry-optimized La7Al structure. Values from VASP.

```
&SYSTEM
  ibrav = 0, nat = 8, ntyp = 2
/
ATOMIC_SPECIES
La 138.91 La.upf
Al 26.98 Al.upf
CELL_PARAMETERS angstrom
0.000 5.093 5.093
5.093 0.000 5.093
5.093 5.093 0.000
ATOMIC_POSITIONS angstrom
La 0.000 0.000 0.000
La 2.546 2.546 0.000
La 2.546 0.000 2.546
La 5.093 2.546 2.546
La 0.000 2.546 2.546
La 2.546 5.093 2.546
La 2.546 2.546 5.093
Al 5.093 5.093 5.093
```


no.,electronic total energy (eV for the cell shown)
1,-22.76
2,-38.64